(1)
Compound: Nd2Al3Ge
Source: Alexandria
Functional: PBEsol
Structure: relaxed

Summary:
For the formation energy, the calculation gives -590 meV/atom. As for the symmetry: Pmm2, No. 25.

Cell lengths 4.100, 4.339, 7.509 Å; angles 90.00, 90.00, 90.00 degrees
Fractional positions:
Ge (0.500, 0.500, 0.335)
Nd (0.000, 0.500, 0.007)
Nd (0.000, 0.000, 0.494)
Al (0.500, 0.000, 0.832)
Al (0.500, 0.000, 0.168)
Al (0.500, 0.500, 0.665)

---

(2)
Compound: Nd2AlGe6
Source: Alexandria
Functional: PBEsol
Structure: relaxed

Summary:
For the formation energy, the calculation gives -504 meV/atom. As for the symmetry: C2/m, No. 12.

Cell lengths 5.990, 5.990, 10.567 Å; angles 98.19, 98.19, 91.98 degrees
Fractional positions:
Nd (0.159, 0.664, 0.663)
Nd (0.664, 0.159, 0.663)
Nd (0.841, 0.336, 0.337)
Nd (0.336, 0.841, 0.337)
Al (0.198, 0.198, 0.803)
Al (0.802, 0.802, 0.197)
Ge (0.853, 0.853, 0.440)
Ge (0.147, 0.147, 0.560)
Ge (0.636, 0.636, 0.586)
Ge (0.364, 0.364, 0.414)
Ge (0.932, 0.505, 0.884)
Ge (0.505, 0.932, 0.884)
Ge (0.068, 0.495, 0.116)
Ge (0.495, 0.068, 0.116)
Ge (0.929, 0.929, 0.884)
Ge (0.071, 0.071, 0.116)
Ge (0.509, 0.509, 0.884)
Ge (0.491, 0.491, 0.116)

---

(3)
Compound: NdAlGe2O7
Source: Alexandria
Functional: PBEsol
Structure: relaxed

Summary:
As for the energy relative to the elements, uncorrected: -2.458 eV/atom. As for the symmetry: P2_1/c, No. 14.

Cell lengths 6.537, 7.208, 11.363 Å; angles 83.29, 90.00, 90.00 degrees
Fractional positions:
Nd (0.148, 0.238, 0.526)
Nd (0.648, 0.262, 0.974)
Nd (0.852, 0.762, 0.474)
Nd (0.352, 0.738, 0.026)
Al (0.399, 0.018, 0.770)
Al (0.101, 0.518, 0.270)
Al (0.601, 0.982, 0.230)
Al (0.899, 0.482, 0.730)
Ge (0.842, 0.742, 0.048)
Ge (0.411, 0.580, 0.721)
Ge (0.658, 0.242, 0.548)
Ge (0.158, 0.258, 0.952)
Ge (0.589, 0.420, 0.279)
Ge (0.089, 0.080, 0.221)
Ge (0.911, 0.920, 0.779)
Ge (0.342, 0.758, 0.452)
O (0.379, 0.769, 0.804)
O (0.879, 0.731, 0.696)
O (0.621, 0.231, 0.196)
O (0.121, 0.269, 0.304)
O (0.182, 0.471, 0.687)
O (0.682, 0.029, 0.813)
O (0.818, 0.529, 0.313)
O (0.318, 0.971, 0.187)
O (0.618, 0.444, 0.778)
O (0.118, 0.056, 0.722)
O (0.382, 0.556, 0.222)
O (0.882, 0.944, 0.278)
O (0.173, 0.932, 0.475)
O (0.673, 0.568, 0.025)
O (0.827, 0.068, 0.525)
O (0.327, 0.432, 0.975)
O (0.000, 0.174, 0.074)
O (0.500, 0.326, 0.426)
O (0.000, 0.826, 0.926)
O (0.500, 0.674, 0.574)
O (0.340, 0.088, 0.917)
O (0.840, 0.412, 0.583)
O (0.660, 0.912, 0.083)
O (0.160, 0.588, 0.417)
O (0.948, 0.338, 0.866)
O (0.448, 0.162, 0.634)
O (0.052, 0.662, 0.134)
O (0.552, 0.838, 0.366)

---

(4)
Compound: AlNiGe
Source: Alexandria
Functional: PBEsol
Structure: relaxed

Summary:
For the formation energy, the calculation gives -451 meV/atom. As for the symmetry: F-43m, No. 216.

Cell lengths 3.947, 3.947, 3.947 Å; angles 60.00, 60.00, 60.00 degrees
Fractional positions:
Ni (0.000, 0.000, 0.000)
Ge (0.250, 0.250, 0.250)
Al (0.750, 0.750, 0.750)

---

(5)
Compound: AlNi6Ge
Source: Alexandria
Functional: PBEsol
Structure: relaxed

Summary:
For the formation energy, the calculation gives -394 meV/atom. As for the symmetry: P4/mmm, No. 123.

Cell lengths 3.519, 3.519, 7.035 Å; angles 90.00, 90.00, 90.00 degrees
Last column: magnetic moment on the atom in μB.
Fractional positions:
Al (0.000, 0.000, 0.000)  0.00
Ni (0.500, 0.500, 0.000)  0.14
Ni (0.500, 0.500, 0.500)  0.10
Ni (0.500, 0.000, 0.251)  0.12
Ni (0.500, 0.000, 0.749)  0.12
Ni (0.000, 0.500, 0.251)  0.12
Ni (0.000, 0.500, 0.749)  0.12
Ge (0.000, 0.000, 0.500)  -0.01

---

(6)
Compound: Al10Ge2O19
Source: Alexandria
Functional: PBEsol
Structure: relaxed

Summary:
As for the energy relative to the elements, uncorrected: -2.740 eV/atom. As for the symmetry: Cmc2_1, No. 36.

Cell lengths 5.911, 7.740, 15.501 Å; angles 90.00, 100.99, 90.00 degrees
Fractional positions:
Al (0.301, 0.989, 0.118)
Al (0.699, 0.489, 0.882)
Al (0.816, 0.989, 0.118)
Al (0.184, 0.489, 0.882)
Al (0.970, 0.832, 0.940)
Al (0.030, 0.332, 0.060)
Al (0.476, 0.817, 0.953)
Al (0.524, 0.317, 0.047)
Al (0.221, 0.840, 0.441)
Al (0.779, 0.340, 0.559)
Al (0.143, 0.185, 0.287)
Al (0.857, 0.685, 0.713)
Al (0.401, 0.164, 0.802)
Al (0.599, 0.664, 0.198)
Al (0.900, 0.162, 0.801)
Al (0.100, 0.662, 0.199)
Al (0.938, 0.515, 0.373)
Al (0.062, 0.015, 0.627)
Al (0.435, 0.515, 0.373)
Al (0.565, 0.015, 0.627)
Ge (0.382, 0.785, 0.764)
Ge (0.618, 0.285, 0.236)
Ge (0.244, 0.198, 0.487)
Ge (0.756, 0.698, 0.513)
O (0.076, 0.463, 0.152)
O (0.924, 0.963, 0.848)
O (0.805, 0.554, 0.610)
O (0.195, 0.054, 0.390)
O (0.575, 0.446, 0.150)
O (0.425, 0.946, 0.850)
O (0.719, 0.705, 0.936)
O (0.281, 0.205, 0.064)
O (0.217, 0.705, 0.936)
O (0.783, 0.205, 0.064)
O (0.977, 0.713, 0.449)
O (0.023, 0.213, 0.551)
O (0.472, 0.713, 0.449)
O (0.528, 0.213, 0.551)
O (0.897, 0.307, 0.305)
O (0.103, 0.807, 0.695)
O (0.409, 0.307, 0.305)
O (0.591, 0.807, 0.695)
O (0.163, 0.277, 0.821)
O (0.837, 0.777, 0.179)
O (0.658, 0.277, 0.821)
O (0.342, 0.777, 0.179)
O (0.024, 0.917, 0.048)
O (0.976, 0.417, 0.952)
O (0.160, 0.628, 0.319)
O (0.840, 0.128, 0.681)
O (0.654, 0.587, 0.308)
O (0.346, 0.087, 0.692)
O (0.402, 0.576, 0.803)
O (0.598, 0.076, 0.197)
O (0.903, 0.562, 0.806)
O (0.097, 0.062, 0.194)
O (0.217, 0.404, 0.435)
O (0.783, 0.904, 0.565)
O (0.727, 0.453, 0.454)
O (0.273, 0.953, 0.546)
O (0.474, 0.422, 0.948)
O (0.526, 0.922, 0.052)

---

(7)
Compound: AlGePO2
Source: Alexandria
Functional: PBEsol
Structure: relaxed

Summary:
As for the energy relative to the elements, uncorrected: -0.906 eV/atom. As for the symmetry: P4/mmm, No. 123.

Cell lengths 3.558, 3.558, 5.241 Å; angles 90.00, 90.00, 90.00 degrees
Fractional positions:
P (0.000, 0.000, 0.500)
Ge (0.500, 0.500, 0.500)
Al (0.000, 0.000, 0.000)
O (0.000, 0.500, 0.000)
O (0.500, 0.000, 0.000)

---

(8)
Compound: SmAlGe2O7
Source: Alexandria
Functional: PBEsol
Structure: relaxed

Summary:
As for the energy relative to the elements, uncorrected: -2.468 eV/atom. As for the symmetry: P2_1/c, No. 14.

Cell lengths 6.515, 7.159, 11.292 Å; angles 83.36, 90.00, 90.00 degrees
Fractional positions:
Sm (0.648, 0.263, 0.474)
Sm (0.352, 0.737, 0.526)
Sm (0.148, 0.237, 0.026)
Sm (0.852, 0.763, 0.974)
Al (0.601, 0.981, 0.729)
Al (0.399, 0.019, 0.271)
Al (0.101, 0.519, 0.771)
Al (0.899, 0.481, 0.229)
Ge (0.342, 0.759, 0.953)
Ge (0.658, 0.241, 0.047)
Ge (0.842, 0.741, 0.547)
Ge (0.158, 0.259, 0.453)
Ge (0.089, 0.079, 0.722)
Ge (0.911, 0.921, 0.278)
Ge (0.589, 0.421, 0.778)
Ge (0.411, 0.579, 0.222)
O (0.621, 0.231, 0.694)
O (0.379, 0.769, 0.306)
O (0.121, 0.269, 0.806)
O (0.879, 0.731, 0.194)
O (0.171, 0.933, 0.975)
O (0.829, 0.067, 0.025)
O (0.671, 0.567, 0.525)
O (0.329, 0.433, 0.475)
O (0.381, 0.559, 0.722)
O (0.619, 0.441, 0.278)
O (0.881, 0.941, 0.778)
O (0.119, 0.059, 0.222)
O (0.998, 0.175, 0.576)
O (0.002, 0.825, 0.424)
O (0.498, 0.325, 0.924)
O (0.502, 0.675, 0.076)
O (0.553, 0.839, 0.867)
O (0.447, 0.161, 0.133)
O (0.053, 0.661, 0.633)
O (0.947, 0.339, 0.367)
O (0.158, 0.588, 0.919)
O (0.842, 0.412, 0.081)
O (0.658, 0.912, 0.581)
O (0.342, 0.088, 0.419)
O (0.317, 0.968, 0.688)
O (0.683, 0.032, 0.312)
O (0.817, 0.532, 0.812)
O (0.183, 0.468, 0.188)

---

(9)
Compound: YAlGeO5
Source: Alexandria
Functional: PBEsol
Structure: relaxed

Summary:
As for the energy relative to the elements, uncorrected: -2.822 eV/atom. As for the symmetry: Pbam, No. 55.

Cell lengths 5.616, 7.226, 8.323 Å; angles 90.00, 90.00, 90.00 degrees
Fractional positions:
Y (0.000, 0.358, 0.326)
Y (0.000, 0.642, 0.674)
Y (0.000, 0.858, 0.174)
Y (0.000, 0.142, 0.826)
Al (0.249, 0.500, 0.000)
Al (0.751, 0.000, 0.500)
Al (0.751, 0.500, 0.000)
Al (0.249, 0.000, 0.500)
Ge (0.500, 0.120, 0.145)
Ge (0.500, 0.880, 0.855)
Ge (0.500, 0.620, 0.355)
Ge (0.500, 0.380, 0.645)
O (0.000, 0.337, 0.054)
O (0.000, 0.663, 0.946)
O (0.000, 0.837, 0.446)
O (0.000, 0.163, 0.554)
O (0.500, 0.347, 0.070)
O (0.500, 0.653, 0.930)
O (0.500, 0.847, 0.430)
O (0.500, 0.153, 0.570)
O (0.252, 0.107, 0.288)
O (0.252, 0.893, 0.712)
O (0.748, 0.607, 0.212)
O (0.748, 0.393, 0.788)
O (0.748, 0.893, 0.712)
O (0.748, 0.107, 0.288)
O (0.252, 0.393, 0.788)
O (0.252, 0.607, 0.212)
O (0.285, 0.000, 0.000)
O (0.715, 0.500, 0.500)
O (0.715, 0.000, 0.000)
O (0.285, 0.500, 0.500)

---

(10)
Compound: AlGeP3
Source: Alexandria
Functional: PBEsol
Structure: relaxed

Summary:
For the formation energy, the calculation gives 728 meV/atom. As for the symmetry: Pm-3m, No. 221.

Cell lengths 4.594, 4.594, 4.594 Å; angles 90.00, 90.00, 90.00 degrees
Fractional positions:
P (0.000, 0.500, 0.000)
P (0.000, 0.000, 0.500)
P (0.500, 0.000, 0.000)
Ge (0.500, 0.500, 0.500)
Al (0.000, 0.000, 0.000)

---

(11)
Compound: AlGeP2
Source: Alexandria
Functional: PBEsol
Structure: relaxed

Summary:
For the formation energy, the calculation gives -109 meV/atom. As for the symmetry: I-42d, No. 122.

Cell lengths 5.500, 5.500, 6.751 Å; angles 114.04, 114.04, 90.00 degrees
Fractional positions:
P (0.866, 0.375, 0.250)
P (0.384, 0.875, 0.250)
P (0.625, 0.616, 0.750)
P (0.125, 0.134, 0.750)
Ge (0.250, 0.750, 0.500)
Ge (0.000, 0.000, 0.000)
Al (0.750, 0.250, 0.500)
Al (0.500, 0.500, 0.000)

---

(12)
Compound: AlGe2P
Source: Alexandria
Functional: PBEsol
Structure: relaxed

Summary:
For the formation energy, the calculation gives 17 meV/atom. As for the symmetry: I-42d, No. 122.

Cell lengths 5.699, 5.699, 6.901 Å; angles 114.39, 114.39, 90.00 degrees
Fractional positions:
P (0.250, 0.750, 0.500)
P (0.000, 0.000, 0.000)
Ge (0.889, 0.375, 0.250)
Ge (0.361, 0.875, 0.250)
Ge (0.625, 0.639, 0.750)
Ge (0.125, 0.111, 0.750)
Al (0.750, 0.250, 0.500)
Al (0.500, 0.500, 0.000)

---

(13)
Compound: AlGeP2S
Source: Alexandria
Functional: PBEsol
Structure: relaxed

Summary:
As for the energy relative to the elements, uncorrected: 0.494 eV/atom. As for the symmetry: P4/mmm, No. 123.

Cell lengths 4.610, 4.610, 4.543 Å; angles 90.00, 90.00, 90.00 degrees
Fractional positions:
P (0.000, 0.500, 0.000)
P (0.500, 0.000, 0.000)
Ge (0.500, 0.500, 0.500)
S (0.000, 0.000, 0.500)
Al (0.000, 0.000, 0.000)

---

(14)
Compound: AlGeRu2Pb
Source: Alexandria
Functional: PBEsol
Structure: relaxed

Summary:
For the formation energy, the calculation gives 1967 meV/atom. As for the symmetry: P4/mmm, No. 123.

Cell lengths 4.933, 4.933, 4.993 Å; angles 90.00, 90.00, 90.00 degrees
Fractional positions:
Pb (0.000, 0.000, 0.000)
Ru (0.000, 0.500, 0.000)
Ru (0.500, 0.000, 0.000)
Ge (0.000, 0.000, 0.500)
Al (0.500, 0.500, 0.500)

---

(15)
Compound: Al2ZnGePb
Source: Alexandria
Functional: PBEsol
Structure: relaxed

Summary:
For the formation energy, the calculation gives 1095 meV/atom. As for the symmetry: P4/mmm, No. 123.

Cell lengths 5.074, 5.256, 5.256 Å; angles 90.00, 90.00, 90.00 degrees
Fractional positions:
Pb (0.000, 0.000, 0.000)
Ge (0.500, 0.500, 0.500)
Zn (0.500, 0.000, 0.000)
Al (0.000, 0.000, 0.500)
Al (0.000, 0.500, 0.000)

---

(16)
Compound: Al3GePd
Source: Alexandria
Functional: PBEsol
Structure: relaxed

Summary:
For the formation energy, the calculation gives 128 meV/atom. As for the symmetry: Pm-3m, No. 221.

Cell lengths 4.673, 4.673, 4.673 Å; angles 90.00, 90.00, 90.00 degrees
Fractional positions:
Ge (0.500, 0.500, 0.500)
Al (0.000, 0.500, 0.000)
Al (0.000, 0.000, 0.500)
Al (0.500, 0.000, 0.000)
Pd (0.000, 0.000, 0.000)

---

(17)
Compound: Pr2AlGe6
Source: Alexandria
Functional: PBEsol
Structure: relaxed

Summary:
For the formation energy, the calculation gives -506 meV/atom. As for the symmetry: C2/m, No. 12.

Cell lengths 6.010, 6.010, 10.624 Å; angles 98.14, 98.14, 92.10 degrees
Fractional positions:
Pr (0.160, 0.665, 0.663)
Pr (0.665, 0.160, 0.663)
Pr (0.840, 0.335, 0.337)
Pr (0.335, 0.840, 0.337)
Al (0.199, 0.199, 0.804)
Al (0.801, 0.801, 0.196)
Ge (0.854, 0.854, 0.439)
Ge (0.146, 0.146, 0.561)
Ge (0.637, 0.637, 0.585)
Ge (0.363, 0.363, 0.415)
Ge (0.932, 0.506, 0.885)
Ge (0.506, 0.932, 0.885)
Ge (0.068, 0.494, 0.115)
Ge (0.494, 0.068, 0.115)
Ge (0.930, 0.930, 0.885)
Ge (0.070, 0.070, 0.115)
Ge (0.510, 0.510, 0.885)
Ge (0.490, 0.490, 0.115)

---

no.,M_tot (μB/atom)
1,0.00
2,0.00
3,0.00
4,0.00
5,0.08
6,0.00
7,0.00
8,0.00
9,0.00
10,0.00
11,0.00
12,0.00
13,0.00
14,0.01
15,0.00
16,0.00
17,0.00